(1)
VASP calculation (GGA-PBE) on an optimized crystal structure of InAuSe. Values from VASP.

```
&SYSTEM
  ibrav = 0, nat = 3, ntyp = 3
/
ATOMIC_SPECIES
Au 196.97 Au.upf
In 114.82 In.upf
Se 78.96 Se.upf
CELL_PARAMETERS angstrom
3.958 0.000 0.000
-1.979 3.428 0.000
0.000 0.000 5.051
ATOMIC_POSITIONS crystal
Au 0.000 0.000 0.000
In 0.667 0.333 0.327
Se 0.333 0.667 0.672
```

Uncorrected formation energy ... -223 meV per atom
Energy ... -3.389 eV per atom
Crystal system ... trigonal
M_tot ... 0.00 Bohr magnetons per cell


(2)
VASP calculation (GGA-PBE) on an optimized crystal structure of InAuSe2. Values from VASP.

```
&SYSTEM
  ibrav = 0, nat = 4, ntyp = 3
/
ATOMIC_SPECIES
Se 78.96 Se.upf
Au 196.97 Au.upf
In 114.82 In.upf
CELL_PARAMETERS angstrom
-1.917 -5.671 3.566
4.519 5.152 1.258
-1.772 1.399 1.620
ATOMIC_POSITIONS crystal
Se 0.000 0.000 0.000
Se 0.500 0.500 0.000
Au 0.500 0.000 0.500
In 0.000 0.500 0.500
```

Uncorrected formation energy ... 201 meV per atom
Energy ... -3.045 eV per atom
Crystal system ... monoclinic
M_tot ... 0.00 Bohr magnetons per cell